Below is crystalline P2Os at its relaxed geometry, with properties calculated at the PBE-GGA level.

```
P2Os
1.0
-1.673 1.673 3.739
1.673 -1.673 3.739
1.673 1.673 -3.739
P Os
2 1
Direct
0.163 0.163 0.000
0.837 0.837 0.000
0.500 0.500 0.000
```

Calculated values
ΔH_f (0 K)	50.1	kJ per mole of atoms
uncorrected energy	-6.83	eV/atom
total moment	0.00	Bohr magnetons per cell